V2WS | PBE | optimized geometry

Cell lengths 2.8309, 2.8309, 25.5050 Å; angles 90.00, 90.00, 120.00 degrees
Space group R-3m (No. 166, hexagonal axes)
Unique sites:
V (0.0000, 0.0000, 0.0980) (multiplicity 6)
W (0.0000, 0.0000, 0.0000) (multiplicity 3)
S (0.0000, 0.0000, 0.5000) (multiplicity 3)

Calculated values
Final energy, eV/cell: -102.8
Crystal system: trigonal
Raw formation energy, eV per atom: 0.261